Record 1
First-principles (PBE-GGA) data for crystalline Dy4Ga3Hg at its relaxed geometry, as listed in Alexandria via LeMat-Bulk.

Geometry as CIF:
```
data_Dy4Ga3Hg
_chemical_formula_sum 'Dy4 Ga3 Hg1'
_cell_length_a 4.2060
_cell_length_b 4.2584
_cell_length_c 11.0734
_cell_angle_alpha 90.00
_cell_angle_beta 90.00
_cell_angle_gamma 90.00
_space_group_name_H-M_alt 'P m m 2'
_space_group_IT_number 25
loop_
_space_group_symop_operation_xyz
'x,y,z'
'-x,-y,z'
'-x,y,z'
'x,-y,z'
loop_
_atom_site_label
_atom_site_fract_x
_atom_site_fract_y
_atom_site_fract_z
Dy1 0.0000 0.0000 0.0000
Dy2 0.0000 0.5000 0.4887
Dy3 0.5000 0.0000 0.7098
Dy4 0.5000 0.5000 0.2161
Ga1 0.0000 0.0000 0.2803
Ga2 0.5000 0.0000 0.4282
Ga3 0.5000 0.5000 0.9432
Hg1 0.0000 0.5000 0.7724
```

Calculated values
Total magnetization in μB per formula unit: 0.0
DOS(E_F) in states/eV per cell: 6.85
Energy in eV/atom: -4.031

Record 2
First-principles (PBE-GGA) data for crystalline Dy6Ga2Hg at its relaxed geometry, as listed in Alexandria via LeMat-Bulk.

Geometry as CIF:
```
data_Dy6Ga2Hg
_chemical_formula_sum 'Dy12 Ga4 Hg2'
_cell_length_a 4.9742
_cell_length_b 7.0924
_cell_length_c 15.0463
_cell_angle_alpha 90.00
_cell_angle_beta 90.00
_cell_angle_gamma 90.00
_space_group_name_H-M_alt 'I m m m'
_space_group_IT_number 71
_space_group_name_Hall '-I 2 2'
loop_
_atom_site_label
_atom_site_fract_x
_atom_site_fract_y
_atom_site_fract_z
Dy1 0.0000 0.2448 0.0000
Dy2 0.0000 0.2513 0.3311
Ga1 0.0000 0.0000 0.1673
Hg1 0.0000 0.0000 0.5000
```

Calculated values
Total magnetization in μB per formula unit: 0.0
DOS(E_F) in states/eV per cell: 24.28
Energy in eV/atom: -3.972

Record 3
First-principles (PBE-GGA) data for crystalline Dy3Ga2Hg3 at its relaxed geometry, as listed in Alexandria via LeMat-Bulk.

Geometry as CIF:
```
data_Dy3Ga2Hg3
_chemical_formula_sum 'Dy12 Ga8 Hg12'
_cell_length_a 4.4551
_cell_length_b 11.0199
_cell_length_c 15.4006
_cell_angle_alpha 90.00
_cell_angle_beta 90.00
_cell_angle_gamma 90.00
_space_group_name_H-M_alt 'C m c m'
_space_group_IT_number 63
_space_group_name_Hall '-C 2c 2'
loop_
_atom_site_label
_atom_site_fract_x
_atom_site_fract_y
_atom_site_fract_z
Dy1 0.0000 0.0783 0.1104
Dy2 0.0000 0.3533 0.2500
Ga1 0.0000 0.2062 0.6164
Hg1 0.0000 0.3723 0.0337
Hg2 0.0000 0.3729 0.7500
```

Calculated values
Total magnetization in μB per formula unit: 0.0
DOS(E_F) in states/eV per cell: 14.93
Energy in eV/atom: -3.073

Record 4
First-principles (PBE-GGA) data for crystalline DyInGaHg at its relaxed geometry, as listed in Alexandria via LeMat-Bulk.

Geometry as CIF:
```
data_DyInGaHg
_chemical_formula_sum 'Dy1 In1 Ga1 Hg1'
_cell_length_a 4.4146
_cell_length_b 4.4528
_cell_length_c 4.6312
_cell_angle_alpha 90.00
_cell_angle_beta 90.00
_cell_angle_gamma 90.00
_space_group_name_H-M_alt 'P m m m'
_space_group_IT_number 47
loop_
_space_group_symop_operation_xyz
'x,y,z'
'-x,-y,-z'
'-x,-y,z'
'x,y,-z'
'x,-y,-z'
'-x,y,z'
'-x,y,-z'
'x,-y,z'
loop_
_atom_site_label
_atom_site_fract_x
_atom_site_fract_y
_atom_site_fract_z
Dy1 0.0000 0.0000 0.0000
In1 0.0000 0.5000 0.5000
Ga1 0.5000 0.5000 0.0000
Hg1 0.5000 0.0000 0.5000
```

Calculated values
Total magnetization in μB per formula unit: 0.0
DOS(E_F) in states/eV per cell: 1.92
Energy in eV/atom: -3.066

Record 5
First-principles (PBE-GGA) data for crystalline DyInGaHg at its relaxed geometry, as listed in Alexandria via LeMat-Bulk.

Geometry as CIF:
```
data_DyInGaHg
_chemical_formula_sum 'Dy4 In4 Ga4 Hg4'
_cell_length_a 7.2171
_cell_length_b 7.2171
_cell_length_c 7.2171
_cell_angle_alpha 90.00
_cell_angle_beta 90.00
_cell_angle_gamma 90.00
_space_group_name_H-M_alt 'F -4 3 m'
_space_group_IT_number 216
_space_group_name_Hall 'F -4 2 3'
loop_
_atom_site_label
_atom_site_fract_x
_atom_site_fract_y
_atom_site_fract_z
Dy1 0.0000 0.0000 0.0000
In1 0.0000 0.0000 0.5000
Ga1 0.2500 0.2500 0.7500
Hg1 0.2500 0.2500 0.2500
```

Calculated values
Total magnetization in μB per formula unit: 0.0
DOS(E_F) in states/eV per cell: 14.42
Energy in eV/atom: -2.929

Record 6
First-principles (PBE-GGA) data for crystalline LaDyGaHg at its relaxed geometry, as listed in Alexandria via LeMat-Bulk.

Geometry as CIF:
```
data_LaDyGaHg
_chemical_formula_sum 'La1 Dy1 Ga1 Hg1'
_cell_length_a 3.6937
_cell_length_b 3.6937
_cell_length_c 7.6801
_cell_angle_alpha 90.00
_cell_angle_beta 90.00
_cell_angle_gamma 90.00
_space_group_name_H-M_alt 'P 4 m m'
_space_group_IT_number 99
loop_
_space_group_symop_operation_xyz
'x,y,z'
'-y,x,z'
'-x,-y,z'
'y,-x,z'
'-x,y,z'
'y,x,z'
'x,-y,z'
'-y,-x,z'
loop_
_atom_site_label
_atom_site_fract_x
_atom_site_fract_y
_atom_site_fract_z
La1 0.0000 0.0000 0.0000
Dy1 0.0000 0.0000 0.4699
Ga1 0.5000 0.5000 0.2508
Hg1 0.5000 0.5000 0.7041
```

Calculated values
Total magnetization in μB per formula unit: 0.0
DOS(E_F) in states/eV per cell: 2.67
Energy in eV/atom: -3.758

Record 7
First-principles (PBE-GGA) data for crystalline LaDyGaHg at its relaxed geometry, as listed in Alexandria via LeMat-Bulk.

Geometry as CIF:
```
data_LaDyGaHg
_chemical_formula_sum 'La4 Dy4 Ga4 Hg4'
_cell_length_a 7.5336
_cell_length_b 7.5336
_cell_length_c 7.5336
_cell_angle_alpha 90.00
_cell_angle_beta 90.00
_cell_angle_gamma 90.00
_space_group_name_H-M_alt 'F -4 3 m'
_space_group_IT_number 216
_space_group_name_Hall 'F -4 2 3'
loop_
_atom_site_label
_atom_site_fract_x
_atom_site_fract_y
_atom_site_fract_z
La1 0.0000 0.0000 0.0000
Dy1 0.0000 0.0000 0.5000
Ga1 0.2500 0.2500 0.2500
Hg1 0.2500 0.2500 0.7500
```

Calculated values
Total magnetization in μB per formula unit: 0.0
DOS(E_F) in states/eV per cell: 21.00
Energy in eV/atom: -3.717

Record 8
First-principles (PBE-GGA) data for crystalline DyLuGaHg at its relaxed geometry, as listed in Alexandria via LeMat-Bulk.

Geometry as CIF:
```
data_DyLuGaHg
_chemical_formula_sum 'Dy4 Lu4 Ga4 Hg4'
_cell_length_a 7.2500
_cell_length_b 7.2500
_cell_length_c 7.2500
_cell_angle_alpha 90.00
_cell_angle_beta 90.00
_cell_angle_gamma 90.00
_space_group_name_H-M_alt 'F -4 3 m'
_space_group_IT_number 216
_space_group_name_Hall 'F -4 2 3'
loop_
_atom_site_label
_atom_site_fract_x
_atom_site_fract_y
_atom_site_fract_z
Dy1 0.0000 0.0000 0.0000
Lu1 0.0000 0.0000 0.5000
Ga1 0.2500 0.2500 0.7500
Hg1 0.2500 0.2500 0.2500
```

Calculated values
Total magnetization in μB per formula unit: 0.0
DOS(E_F) in states/eV per cell: 15.97
Energy in eV/atom: -3.609